! LiMnVO4, relaxed, DFT PBE with a Hubbard U; values from VASP
&SYSTEM
  ibrav = 0, nat = 14, ntyp = 4
/
ATOMIC_SPECIES
O 16.00 O.upf
Li 6.94 Li.upf
Mn 54.94 Mn.upf
V 50.94 V.upf
CELL_PARAMETERS angstrom
6.004 0.003 0.007
-3.020 5.189 -0.007
0.152 3.367 4.969
ATOMIC_POSITIONS crystal
O 0.241 0.019 0.240
O 0.241 0.481 0.778
O 0.755 0.005 0.251
O 0.246 0.995 0.749
O 0.759 0.981 0.760
O 0.244 0.495 0.251
O 0.756 0.505 0.749
O 0.759 0.519 0.222
Li 0.500 0.000 0.500
Li 0.000 0.500 0.500
Mn 0.500 0.000 0.000
Mn 0.500 0.500 0.500
V 0.121 0.250 0.129
V 0.879 0.750 0.871
! crystal system	orthorhombic
! final energy	-100.6	eV per cell
! M_tot	10.00	μB per cell
! ΔE to the lowest computed polymorph	0.519	kcal/mol of atoms